Compound: TbRe2N4
Source: the Alexandria database
Functional: GGA-PBE
Structure: relaxed

Lattice parameters (Å, degrees): 3.2335 5.1342 10.0762 90.00 90.00 108.35
Atoms (fractional coordinates):
Tb 0.6279 0.2560 0.7500
Tb 0.3721 0.7440 0.2500
Re 0.1134 0.2270 0.4368
Re 0.8866 0.7730 0.9368
Re 0.1134 0.2270 0.0632
Re 0.8866 0.7730 0.5632
N 0.7597 0.5195 0.1045
N 0.7597 0.5195 0.3955
N 0.2403 0.4805 0.8955
N 0.2403 0.4805 0.6045
N 0.9356 0.8710 0.7500
N 0.0644 0.1290 0.2500
N 0.5000 0.0000 0.0000
N 0.5000 0.0000 0.5000

Results
Offset from the most stable computed form, meV/atom: 0
Formation energy (no corrections), meV/atom: -422
E_tot, eV/atom: -9.3977
Total magnetization, μB per formula unit: 0.00

Compound: Tb2ReN
Source: the Alexandria database
Functional: GGA-PBE
Structure: relaxed

Lattice parameters (Å, degrees): 3.2008 3.2008 8.7411 79.45 79.45 60.00
Atoms (fractional coordinates):
Re 0.0000 0.0000 0.0000
Tb 0.1106 0.1106 0.6683
Tb 0.8894 0.8894 0.3317
N 0.5000 0.5000 0.5000

Results
Formation energy (no corrections), meV/atom: -7
E_tot, eV/atom: -7.5152
Total magnetization, μB per formula unit: 0.00

Compound: Tb3Re2N6
Source: the Alexandria database
Functional: GGA-PBE
Structure: relaxed

Lattice parameters (Å, degrees): 3.9069 3.9069 9.8226 101.47 101.47 90.00
Atoms (fractional coordinates):
Tb 0.0000 0.0000 0.0000
Tb 0.8157 0.8157 0.6314
Tb 0.1843 0.1843 0.3686
Re 0.4100 0.4100 0.8199
Re 0.5900 0.5900 0.1801
N 0.0856 0.5856 0.1713
N 0.5856 0.0856 0.1713
N 0.9144 0.4144 0.8287
N 0.4144 0.9144 0.8287
N 0.6987 0.6987 0.3974
N 0.3013 0.3013 0.6026

Results
Formation energy (no corrections), meV/atom: -896
E_tot, eV/atom: -8.9631
Total magnetization, μB per formula unit: 0.00

Compound: Tb2ReN6
Source: the Alexandria database
Functional: GGA-PBE
Structure: relaxed

Lattice parameters (Å, degrees): 5.2001 5.2001 10.1738 90.00 90.00 90.00
Last column: magnetic moment on the atom in μB.
Atoms (fractional coordinates):
Tb 0.0000 0.0000 0.3246  0.08
Tb 0.5000 0.5000 0.8246  0.08
Tb 0.5000 0.5000 0.1754  0.08
Tb 0.0000 0.0000 0.6754  0.08
Re 0.0000 0.0000 0.0000  -0.39
Re 0.5000 0.5000 0.5000  -0.39
N 0.3139 0.3139 0.3611  0.54
N 0.6861 0.6861 0.3611  0.54
N 0.1861 0.8139 0.8611  0.54
N 0.8139 0.1861 0.8611  0.54
N 0.1861 0.8139 0.1389  0.54
N 0.8139 0.1861 0.1389  0.54
N 0.3139 0.3139 0.6389  0.54
N 0.6861 0.6861 0.6389  0.54
N 0.2711 0.2711 0.0000  0.78
N 0.7289 0.7289 0.0000  0.78
N 0.2289 0.7711 0.5000  0.78
N 0.7711 0.2289 0.5000  0.78

Results
Formation energy (no corrections), meV/atom: 245
E_tot, eV/atom: -7.7178
Total magnetization, μB per formula unit: 4.97

Compound: Tb2Re2N7
Source: the Alexandria database
Functional: GGA-PBE
Structure: relaxed

Lattice parameters (Å, degrees): 5.2088 6.0708 6.0708 106.24 97.80 97.80
Last column: magnetic moment on the atom in μB.
Atoms (fractional coordinates):
Tb 0.5000 0.3068 0.6932  0.01
Tb 0.5000 0.6932 0.3068  0.01
Re 0.8971 0.2257 0.2257  -0.07
Re 0.1029 0.7743 0.7743  -0.07
N 0.2931 0.9148 0.6074  0.06
N 0.7069 0.3926 0.0852  0.06
N 0.7069 0.0852 0.3926  0.06
N 0.2931 0.6074 0.9148  0.06
N 0.0000 0.0000 0.0000  0.10
N 0.7871 0.6001 0.6001  0.25
N 0.2129 0.3999 0.3999  0.25

Results
Formation energy (no corrections), meV/atom: -491
E_tot, eV/atom: -8.8937
Total magnetization, μB per formula unit: 1.02

Compound: TbRe2N6
Source: the Alexandria database
Functional: GGA-PBE
Structure: relaxed

Lattice parameters (Å, degrees): 6.2964 7.4846 7.4846 85.66 75.47 75.47
Last column: magnetic moment on the atom in μB.
Atoms (fractional coordinates):
Tb 0.2500 0.0949 0.9051  0.00
Tb 0.7500 0.9051 0.0949  0.00
Re 0.2470 0.6250 0.7800  -0.10
Re 0.2530 0.2200 0.3750  -0.10
Re 0.7530 0.3750 0.2200  -0.10
Re 0.7470 0.7800 0.6250  -0.10
N 0.5385 0.6353 0.6463  0.14
N 0.9615 0.3537 0.3647  0.14
N 0.4615 0.3647 0.3537  0.14
N 0.0385 0.6463 0.6353  0.14
N 0.7679 0.8888 0.4058  0.21
N 0.7321 0.5942 0.1112  0.21
N 0.2321 0.1112 0.5942  0.21
N 0.2679 0.4058 0.8888  0.21
N 0.1399 0.8042 0.9482  0.09
N 0.3601 0.0518 0.1958  0.09
N 0.8601 0.1958 0.0518  0.09
N 0.6399 0.9482 0.8042  0.09

Results
Formation energy (no corrections), meV/atom: -75
E_tot, eV/atom: -8.9056
Total magnetization, μB per formula unit: 1.05

Compound: Tb2ReN4
Source: the Alexandria database
Functional: GGA-PBE
Structure: relaxed

Lattice parameters (Å, degrees): 6.6150 6.6150 6.6144 59.98 59.98 89.99
Atoms (fractional coordinates):
Tb 0.5000 0.5000 0.5000
Tb 0.5000 0.0000 0.5000
Tb 0.0000 0.0000 0.0000
Tb 0.5000 0.0000 0.0000
Re 0.8750 0.6250 0.7500
Re 0.1250 0.3750 0.2500
N 0.2396 0.7185 0.0205
N 0.7604 0.2815 0.9795
N 0.2185 0.7396 0.5205
N 0.2388 0.2601 0.4795
N 0.2399 0.2612 0.0205
N 0.7612 0.7399 0.5205
N 0.7815 0.2604 0.4795
N 0.7601 0.7388 0.9795

Results
Offset from the most stable computed form, meV/atom: 66
Formation energy (no corrections), meV/atom: -824
E_tot, eV/atom: -8.6823
Total magnetization, μB per formula unit: 0.00

Compound: TbReN2
Source: the Alexandria database
Functional: GGA-PBE
Structure: relaxed

Lattice parameters (Å, degrees): 3.2966 3.9552 3.9552 90.00 90.00 90.00
Atoms (fractional coordinates):
Tb 0.5000 0.5000 0.5000
Re 0.0000 0.0000 0.0000
N 0.0000 0.5000 0.0000
N 0.0000 0.0000 0.5000

Results
Offset from the most stable computed form, meV/atom: 0
Formation energy (no corrections), meV/atom: -911
E_tot, eV/atom: -9.3431
Total magnetization, μB per formula unit: 0.00

Compound: TbRe4N8
Source: the Alexandria database
Functional: GGA-PBE
Structure: relaxed

Lattice parameters (Å, degrees): 5.8126 5.8126 6.6962 64.28 64.28 60.00
Atoms (fractional coordinates):
Tb 0.5000 0.5000 0.5000
Re 0.0000 0.5000 0.0000
Re 0.5000 0.5000 0.0000
Re 0.5000 0.0000 0.0000
Re 0.0000 0.0000 0.0000
N 0.7398 0.2360 0.7882
N 0.7640 0.2602 0.2118
N 0.2602 0.7640 0.2118
N 0.7640 0.7640 0.2118
N 0.7332 0.7332 0.8004
N 0.2668 0.2668 0.1996
N 0.2360 0.2360 0.7882
N 0.2360 0.7398 0.7882

Results
Formation energy (no corrections), meV/atom: 22
E_tot, eV/atom: -9.2880
Total magnetization, μB per formula unit: 0.00

Compound: Tb6ReN8
Source: the Alexandria database
Functional: GGA-PBE
Structure: relaxed

Lattice parameters (Å, degrees): 6.3151 6.3151 6.3151 68.50 68.50 68.50
Atoms (fractional coordinates):
Tb 0.0561 0.4820 0.7130
Tb 0.2870 0.9439 0.5180
Tb 0.5180 0.2870 0.9439
Tb 0.4820 0.7130 0.0561
Tb 0.7130 0.0561 0.4820
Tb 0.9439 0.5180 0.2870
Re 0.0000 0.0000 0.0000
N 0.1625 0.6824 0.9012
N 0.0988 0.8375 0.3176
N 0.3176 0.0988 0.8375
N 0.6691 0.6691 0.6691
N 0.3309 0.3309 0.3309
N 0.6824 0.9012 0.1625
N 0.9012 0.1625 0.6824
N 0.8375 0.3176 0.0988

Results
Formation energy (no corrections), meV/atom: -1059
E_tot, eV/atom: -8.1814
Total magnetization, μB per formula unit: 0.00

Compound: TbReN
Source: the Alexandria database
Functional: GGA-PBE
Structure: relaxed

Lattice parameters (Å, degrees): 6.2862 6.2862 11.8049 148.26 148.26 50.62
Atoms (fractional coordinates):
Re 0.6980 0.6980 0.2598
Re 0.3020 0.3020 0.7402
N 0.4607 0.4607 0.7354
N 0.5393 0.5393 0.2646
Tb 0.9589 0.9589 0.7847
Tb 0.0411 0.0411 0.2153

Results
Formation energy (no corrections), meV/atom: -400
E_tot, eV/atom: -8.8683
Total magnetization, μB per formula unit: 0.00

Compound: TbReN3
Source: the Alexandria database
Functional: GGA-PBE
Structure: relaxed

Lattice parameters (Å, degrees): 6.3336 7.4175 7.4175 82.06 72.79 72.79
Atoms (fractional coordinates):
Tb 0.7500 0.2911 0.7089
Tb 0.2500 0.0944 0.9056
Tb 0.7500 0.9056 0.0944
Tb 0.2500 0.7089 0.2911
Re 0.7184 0.3766 0.2050
Re 0.2184 0.2050 0.3766
Re 0.7816 0.7950 0.6234
Re 0.2816 0.6234 0.7950
N 0.4186 0.3604 0.3334
N 0.6622 0.9945 0.7793
N 0.9186 0.3334 0.3604
N 0.0814 0.6666 0.6396
N 0.8426 0.8680 0.3742
N 0.1622 0.7793 0.9945
N 0.5814 0.6396 0.6666
N 0.8378 0.2207 0.0055
N 0.3378 0.0055 0.2207
N 0.3426 0.3742 0.8680
N 0.1574 0.1320 0.6258
N 0.6574 0.6258 0.1320

Results
Formation energy (no corrections), meV/atom: -674
E_tot, eV/atom: -9.0849
Total magnetization, μB per formula unit: 0.00

Compound: TbRe3N8
Source: the Alexandria database
Functional: GGA-PBE
Structure: relaxed

Lattice parameters (Å, degrees): 5.7365 5.7365 6.3012 90.00 90.00 120.00
Atoms (fractional coordinates):
Tb 0.0000 0.0000 0.5000
Re 0.6667 0.3333 0.7202
Re 0.3333 0.6667 0.2798
Re 0.0000 0.0000 0.0000
N 0.6882 0.8438 0.1916
N 0.1557 0.3118 0.1916
N 0.1562 0.8443 0.1916
N 0.3118 0.1562 0.8084
N 0.8443 0.6882 0.8084
N 0.8438 0.1557 0.8084
N 0.6667 0.3333 0.4432
N 0.3333 0.6667 0.5568

Results
Formation energy (no corrections), meV/atom: 39
E_tot, eV/atom: -9.0089
Total magnetization, μB per formula unit: 0.00

Compound: Tb2ReTcN6
Source: the Alexandria database
Functional: GGA-PBE
Structure: relaxed

Lattice parameters (Å, degrees): 5.3965 5.6139 7.7668 90.00 90.00 90.00
Atoms (fractional coordinates):
Tb 0.0091 0.9374 0.2500
Tb 0.5091 0.5626 0.7500
Tb 0.9909 0.0626 0.7500
Tb 0.4909 0.4374 0.2500
Re 0.5000 0.0000 0.5000
Re 0.0000 0.5000 0.0000
Tc 0.5000 0.0000 0.0000
Tc 0.0000 0.5000 0.5000
N 0.3003 0.7001 0.0422
N 0.8003 0.7999 0.5422
N 0.6997 0.2999 0.9578
N 0.1997 0.2001 0.4578
N 0.3026 0.7027 0.4576
N 0.8026 0.7973 0.9576
N 0.6974 0.2973 0.5424
N 0.1974 0.2027 0.0424
N 0.9184 0.5180 0.2487
N 0.4184 0.9820 0.7487
N 0.0816 0.4820 0.7513
N 0.5816 0.0180 0.2513

Results
Formation energy (no corrections), meV/atom: -625
E_tot, eV/atom: -8.8281
Total magnetization, μB per formula unit: 0.00

Compound: Tb2VReN5
Source: the Alexandria database
Functional: GGA-PBE
Structure: relaxed

Lattice parameters (Å, degrees): 3.3253 6.6527 9.9069 90.00 90.00 104.47
Atoms (fractional coordinates):
Tb 0.8547 0.7094 0.7893
Tb 0.1084 0.2167 0.6983
Tb 0.1453 0.2906 0.2893
Tb 0.8916 0.7833 0.1983
V 0.5261 0.0522 0.9641
V 0.4739 0.9478 0.4641
Re 0.7776 0.5551 0.5130
Re 0.2224 0.4449 0.0130
N 0.3709 0.7418 0.0073
N 0.6816 0.3632 0.8787
N 0.4894 0.9789 0.7881
N 0.2833 0.5667 0.6368
N 0.9509 0.9018 0.5483
N 0.6291 0.2582 0.5073
N 0.3184 0.6368 0.3787
N 0.5106 0.0211 0.2881
N 0.7167 0.4333 0.1368
N 0.0491 0.0982 0.0483

Results
Formation energy (no corrections), meV/atom: -960
E_tot, eV/atom: -9.0108
Total magnetization, μB per formula unit: 0.00

Compound: Re3TcN
Source: the Alexandria database
Functional: GGA-PBE
Structure: relaxed

Lattice parameters (Å, degrees): 4.0535 4.0535 4.0535 90.00 90.00 90.00
Atoms (fractional coordinates):
Re 0.0000 0.5000 0.0000
Re 0.0000 0.0000 0.5000
Re 0.5000 0.0000 0.0000
Tc 0.5000 0.5000 0.5000
N 0.0000 0.0000 0.0000

Results
Offset from the most stable computed form, meV/atom: 0
Formation energy (no corrections), meV/atom: 249
E_tot, eV/atom: -10.9583
Total magnetization, μB per formula unit: 0.00

Compound: ReTcN
Source: the Alexandria database
Functional: GGA-PBE
Structure: relaxed

Lattice parameters (Å, degrees): 2.9128 3.7766 3.7766 120.00 90.00 90.00
Atoms (fractional coordinates):
Re 0.1666 0.3333 0.6667
Tc 0.6666 0.6667 0.3333
N 0.1667 0.0000 0.0000

Results
Formation energy (no corrections), meV/atom: 538
E_tot, eV/atom: -9.8423
Total magnetization, μB per formula unit: 0.00

Compound: ReTc3N
Source: the Alexandria database
Functional: GGA-PBE
Structure: relaxed

Lattice parameters (Å, degrees): 4.6929 4.6929 4.6929 90.00 90.00 90.00
Last column: magnetic moment on the atom in μB.
Atoms (fractional coordinates):
Re 0.0000 0.0000 0.0000  -0.14
Tc 0.0000 0.5000 0.0000  1.03
Tc 0.0000 0.0000 0.5000  0.98
Tc 0.5000 0.0000 0.0000  1.03
N 0.5000 0.5000 0.5000  0.39

Results
Offset from the most stable computed form, meV/atom: 2832
Formation energy (no corrections), meV/atom: 2914
E_tot, eV/atom: -7.4600
Total magnetization, μB per formula unit: 3.65

Compound: ReTc2N
Source: the Alexandria database
Functional: GGA-PBE
Structure: relaxed

Lattice parameters (Å, degrees): 2.7165 2.7165 6.6042 90.00 90.00 90.00
Atoms (fractional coordinates):
Re 0.5000 0.5000 0.5000
Tc 0.0000 0.0000 0.7980
Tc 0.0000 0.0000 0.2020
N 0.5000 0.5000 0.0000

Results
Formation energy (no corrections), meV/atom: 272
E_tot, eV/atom: -10.1043
Total magnetization, μB per formula unit: 0.00

Compound: Re3TcN
Source: the Alexandria database
Functional: GGA-PBE
Structure: relaxed

Lattice parameters (Å, degrees): 4.6457 4.6457 4.6457 90.00 90.00 90.00
Atoms (fractional coordinates):
Re 0.0000 0.5000 0.0000
Re 0.0000 0.0000 0.5000
Re 0.5000 0.0000 0.0000
Tc 0.0000 0.0000 0.0000
N 0.5000 0.5000 0.5000

Results
Offset from the most stable computed form, meV/atom: 3136
Formation energy (no corrections), meV/atom: 3385
E_tot, eV/atom: -7.8225
Total magnetization, μB per formula unit: 0.00

Compound: ReTc2N
Source: the Alexandria database
Functional: GGA-PBE
Structure: relaxed

Lattice parameters (Å, degrees): 5.1105 5.1105 6.0697 65.10 65.10 90.00
Atoms (fractional coordinates):
Re 0.0000 0.0000 0.0000
Re 0.7500 0.2500 0.5000
Tc 0.5468 0.1250 0.2500
Tc 0.2032 0.6250 0.2500
Tc 0.3750 0.4532 0.7500
Tc 0.8750 0.7968 0.7500
N 0.5000 0.5000 0.0000
N 0.2500 0.7500 0.5000

Results
Formation energy (no corrections), meV/atom: 486
E_tot, eV/atom: -9.8902
Total magnetization, μB per formula unit: 0.00

Compound: ReTc3N
Source: the Alexandria database
Functional: GGA-PBE
Structure: relaxed

Lattice parameters (Å, degrees): 4.0313 4.0313 4.0313 90.00 90.00 90.00
Atoms (fractional coordinates):
Re 0.5000 0.5000 0.5000
Tc 0.0000 0.5000 0.0000
Tc 0.0000 0.0000 0.5000
Tc 0.5000 0.0000 0.0000
N 0.0000 0.0000 0.0000

Results
Offset from the most stable computed form, meV/atom: 0
Formation energy (no corrections), meV/atom: 83
E_tot, eV/atom: -10.2917
Total magnetization, μB per formula unit: 0.00